{"formula": "ZrBeReRu2", "functional": "PBE", "state": "relaxed", "lattice": [[4.631, 0.000, 0.000], [0.000, 4.390, 0.000], [0.000, 0.000, 4.631]], "species": ["Re", "Be", "Zr", "Ru", "Ru"], "frac_coords": [[0.500, 0.500, 0.500], [0.000, 0.500, 0.000], [0.000, 0.000, 0.000], [0.000, 0.000, 0.500], [0.500, 0.000, 0.000]], "formation_enthalpy_0k_ev_per_atom": 2.22, "sg": "P4/mmm (123)"}


{"formula": "CaDy2Hg", "functional": "PBE", "state": "relaxed", "lattice": [[-1.302, 3.008, 1.543], [-3.193, 1.344, -1.061], [-6.834, -4.941, 8.120]], "species": ["Ca", "Hg", "Dy", "Dy"], "frac_coords": [[0.000, 0.000, 0.000], [0.500, 0.500, 0.500], [0.099, 0.099, 0.704], [0.901, 0.901, 0.296]], "formation_enthalpy_0k_ev_per_atom": 0.04, "relative_energy_ev_per_atom": 0.183, "sg": "R-3m (166)"}


{"formula": "Sr2Li9Ca", "functional": "PBE", "state": "relaxed", "lattice": [[-5.827, 1.486, -1.722], [-3.988, -4.493, -1.745], [-6.279, -1.964, 8.194]], "species": ["Sr", "Sr", "Li", "Li", "Li", "Li", "Li", "Li", "Li", "Li", "Li", "Ca"], "frac_coords": [[0.862, 0.862, 0.413], [0.138, 0.138, 0.587], [0.667, 0.667, 0.998], [0.333, 0.333, 0.002], [0.500, 0.500, 0.500], [0.422, 0.422, 0.235], [0.921, 0.422, 0.235], [0.422, 0.921, 0.235], [0.578, 0.578, 0.765], [0.578, 0.079, 0.765], [0.079, 0.578, 0.765], [0.000, 0.000, 0.000]], "formation_enthalpy_0k_ev_per_atom": 0.01, "sg": "R-3m (166)"}


{"formula": "Ac3Ga2NiPd9", "functional": "PBE", "state": "relaxed", "lattice": [[7.434, 0.000, 0.000], [-3.717, 6.438, 0.000], [0.000, 0.000, 6.809]], "species": ["Ac", "Ac", "Ac", "Ga", "Ga", "Ni", "Pd", "Pd", "Pd", "Pd", "Pd", "Pd", "Pd", "Pd", "Pd"], "frac_coords": [[0.333, 0.667, 0.663], [0.000, 0.000, 0.000], [0.667, 0.333, 0.337], [0.333, 0.667, 0.170], [0.667, 0.333, 0.830], [0.000, 0.000, 0.500], [0.833, 0.167, 0.667], [0.833, 0.667, 0.667], [0.333, 0.167, 0.667], [0.667, 0.833, 0.333], [0.167, 0.333, 0.333], [0.167, 0.833, 0.333], [0.500, 0.000, 0.000], [0.000, 0.500, 0.000], [0.500, 0.500, 0.000]], "formation_enthalpy_0k_ev_per_atom": -0.50, "sg": "P-3m1 (164)"}


{"formula": "K2As2Pb", "functional": "PBE", "state": "relaxed", "lattice": [[4.779, 0.000, 0.000], [0.000, 4.779, 0.000], [2.390, 2.390, 6.776]], "species": ["Pb", "As", "As", "K", "K"], "frac_coords": [[0.000, 0.000, 0.000], [0.412, 0.412, 0.176], [0.588, 0.588, 0.824], [0.750, 0.250, 0.500], [0.250, 0.750, 0.500]], "formation_enthalpy_0k_ev_per_atom": -0.03, "relative_energy_ev_per_atom": 0.296, "sg": "I4/mmm (139)"}


{"formula": "ThAl2Re", "functional": "PBE", "state": "relaxed", "lattice": [[-4.682, -0.874, -0.148], [-2.034, -2.666, 3.386], [-2.903, 2.019, 3.199]], "species": ["Re", "Al", "Al", "Th"], "frac_coords": [[0.000, 0.000, 0.000], [0.250, 0.250, 0.249], [0.750, 0.750, 0.751], [0.500, 0.500, 0.500]], "formation_enthalpy_0k_ev_per_atom": 0.03, "relative_energy_ev_per_atom": 0.310, "sg": "Fm-3m (225)"}


{"formula": "PmMg2Au", "functional": "PBE", "state": "relaxed", "lattice": [[3.431, 0.000, 0.000], [0.000, 3.431, 0.000], [0.000, 0.000, 7.912]], "species": ["Mg", "Mg", "Au", "Pm"], "frac_coords": [[0.000, 0.000, 0.808], [0.000, 0.000, 0.192], [0.500, 0.500, 0.000], [0.500, 0.500, 0.500]], "formation_enthalpy_0k_ev_per_atom": -0.34, "relative_energy_ev_per_atom": 0.177, "sg": "P4/mmm (123)"}


{"formula": "PmHoCo2", "functional": "PBE", "state": "relaxed", "lattice": [[4.780, 0.000, 0.000], [2.390, 4.139, 0.000], [2.390, 1.380, 3.903]], "species": ["Co", "Co", "Ho", "Pm"], "frac_coords": [[0.250, 0.250, 0.250], [0.750, 0.750, 0.750], [0.000, 0.000, 0.000], [0.500, 0.500, 0.500]], "formation_enthalpy_0k_ev_per_atom": -0.07, "relative_energy_ev_per_atom": 0.081, "sg": "Fm-3m (225)"}


{"formula": "YbAg2", "functional": "PBE", "state": "relaxed", "lattice": [[5.492, 0.074, 0.000], [2.926, 4.649, 0.000], [-4.209, -2.361, 2.623]], "species": ["Yb", "Ag", "Ag"], "frac_coords": [[0.000, 0.000, 0.000], [0.676, 0.676, 0.000], [0.324, 0.324, 0.000]], "formation_enthalpy_0k_ev_per_atom": -0.27, "sg": "I4/mmm (139)"}


{"formula": "Mn2CoRe", "functional": "PBE", "state": "relaxed", "lattice": [[3.633, 0.000, 0.000], [0.000, 3.633, 0.000], [0.000, 0.000, 3.586]], "species": ["Co", "Mn", "Mn", "Re"], "frac_coords": [[0.000, 0.500, 0.500], [0.000, 0.000, 0.000], [0.500, 0.500, 0.000], [0.500, 0.000, 0.500]], "formation_enthalpy_0k_ev_per_atom": 0.01, "sg": "P4/mmm (123)"}


{"formula": "SrY2W", "functional": "PBE", "state": "relaxed", "lattice": [[-2.131, -5.232, -0.795], [0.329, -2.085, 5.300], [-2.636, 4.532, -2.249]], "species": ["Sr", "W", "Y", "Y"], "frac_coords": [[0.750, 0.250, 0.500], [0.250, 0.750, 0.500], [0.038, 0.038, 0.000], [0.462, 0.462, 0.000]], "formation_enthalpy_0k_ev_per_atom": 0.71, "relative_energy_ev_per_atom": 0.273, "sg": "Immm (71)"}


{"formula": "Pm6Pd3N", "functional": "PBE", "state": "relaxed", "lattice": [[6.732, 0.000, 0.121], [0.000, 7.483, 0.000], [0.271, 0.000, 10.166]], "species": ["Pm", "Pm", "Pm", "Pm", "Pm", "Pm", "Pm", "Pm", "Pm", "Pm", "Pm", "Pm", "Pd", "Pd", "Pd", "Pd", "Pd", "Pd", "N", "N"], "frac_coords": [[0.693, 0.165, 0.937], [0.646, 0.196, 0.567], [0.640, 0.461, 0.266], [0.360, 0.539, 0.734], [0.354, 0.804, 0.433], [0.307, 0.835, 0.063], [0.193, 0.335, 0.437], [0.146, 0.304, 0.067], [0.140, 0.039, 0.766], [0.860, 0.961, 0.234], [0.854, 0.696, 0.933], [0.807, 0.665, 0.563], [0.557, 0.892, 0.752], [0.500, 0.500, 0.000], [0.443, 0.108, 0.248], [0.057, 0.608, 0.252], [0.000, 0.000, 0.500], [0.943, 0.392, 0.748], [0.500, 0.500, 0.500], [0.000, 0.000, 0.000]], "final_energy_ev_per_cell": -119.2, "sg": "P2_1/c (14)"}


{"formula": "CsK2PmI6", "functional": "PBE", "state": "relaxed", "lattice": [[8.889, 0.000, 0.000], [4.444, 7.698, 0.000], [4.444, 2.566, 7.884]], "species": ["Cs", "K", "K", "Pm", "I", "I", "I", "I", "I", "I"], "frac_coords": [[0.811, 0.811, 0.567], [0.524, 0.524, 0.429], [0.008, 0.008, 0.976], [0.326, 0.326, 0.021], [0.560, 0.236, 0.235], [0.236, 0.969, 0.235], [0.969, 0.560, 0.235], [0.384, 0.696, 0.772], [0.696, 0.148, 0.772], [0.148, 0.384, 0.772]], "final_energy_ev_per_cell": -31.8, "sg": "R3 (146)"}


{"formula": "Ba3Li2In4", "functional": "PBE", "state": "relaxed", "lattice": [[5.231, 0.000, 0.000], [-2.616, 4.531, 0.000], [0.000, 0.000, 26.657]], "species": ["Ba", "Ba", "Ba", "Ba", "Ba", "Ba", "Li", "Li", "Li", "Li", "In", "In", "In", "In", "In", "In", "In", "In"], "frac_coords": [[0.333, 0.667, 0.258], [0.333, 0.667, 0.582], [0.333, 0.667, 0.910], [0.333, 0.667, 0.080], [0.333, 0.667, 0.420], [0.333, 0.667, 0.749], [0.000, 0.000, 0.185], [0.000, 0.000, 0.502], [0.000, 0.000, 0.828], [0.667, 0.333, 0.157], [0.667, 0.333, 0.492], [0.667, 0.333, 0.820], [0.667, 0.333, 0.008], [0.667, 0.333, 0.352], [0.667, 0.333, 0.681], [0.000, 0.000, 0.324], [0.000, 0.000, 0.660], [0.000, 0.000, 0.989]], "formation_enthalpy_0k_ev_per_atom": -0.28, "relative_energy_ev_per_atom": 0.043, "sg": "P3m1 (156)"}


{"formula": "TmZnAgPd", "functional": "PBE", "state": "relaxed", "lattice": [[-3.609, 2.867, -1.001], [-2.763, -0.895, -3.716], [-4.433, -1.472, 0.657]], "species": ["Zn", "Tm", "Pd", "Ag"], "frac_coords": [[0.500, 0.500, 0.500], [0.000, 0.000, 0.000], [0.250, 0.250, 0.250], [0.750, 0.750, 0.750]], "formation_enthalpy_0k_ev_per_atom": -0.48, "sg": "F-43m (216)"}


{"formula": "YHgGe2I", "functional": "PBE", "state": "relaxed", "lattice": [[-4.026, 1.780, -3.234], [-3.650, -2.683, 3.066], [-0.588, 4.414, 3.162]], "species": ["I", "Y", "Ge", "Ge", "Hg"], "frac_coords": [[0.000, 0.000, 0.000], [0.500, 0.500, 0.500], [0.000, 0.000, 0.500], [0.500, 0.000, 0.000], [0.000, 0.500, 0.000]], "final_energy_ev_per_cell": -13.7, "sg": "P4/mmm (123)"}


Taking the records one at a time from the top gives total magnetic moment values of 0.00 0.00 0.00 0.08 0.00 0.00 0.18 0.70 0.23 1.44 1.15 0.00 0.00 0.00 0.00 0.00 μB/f.u..
Taking the records one at a time from the top gives volume values of 94.14 130.93 334.43 325.89 154.77 76.59 93.13 77.21 66.40 47.33 113.62 511.89 539.42 631.81 74.19 163.19 Å³ per cell.